Version a
AsCBr2F after structural relaxation. Source: Alexandria via LeMat-Bulk, functional PBE.

Cell and atoms, written as POSCAR:
```
AsCBr2F
1.0
5.582 0.000 0.000
0.000 5.582 0.000
0.000 0.000 3.840
As F Br C
1 1 2 1
Direct
0.000 0.000 0.500
0.000 0.000 0.000
0.500 0.000 0.000
0.000 0.500 0.000
0.500 0.500 0.500
```

Volume: 120 Å³/cell
Total magnetization: 0.26 μB/atom

=====

Version b
AsCBr2F after structural relaxation. Source: Alexandria via LeMat-Bulk, functional PBE.

Cell and atoms, written as POSCAR:
```
AsCBr2F
1.0
4.637 0.000 0.000
0.000 4.637 0.000
0.000 0.000 4.287
F C Br As
1 1 2 1
Direct
0.500 0.500 0.500
0.000 0.000 0.000
0.500 0.000 0.000
0.000 0.500 0.000
0.000 0.000 0.500
```

Volume: 92 Å³/cell
Total magnetization: 0.00 μB/atom

=====

Which is the most stable structure? version b is the most stable.